<A>
First-principles (PBE) data for an optimized crystal structure of BaHfCl2, as listed in Alexandria via LeMat-Bulk.

It has space group I-42d (No. 122), with a = 5.490 Å, b = 5.490 Å, c = 16.469 Å, α = 90.00°, β = 90.00° and γ = 90.00°. Symmetry generates all atoms from Ba at (0.000, 0.000, 0.000), Hf at (0.000, 0.000, 0.500) and Cl at (0.130, 0.250, 0.625).

As for the crystal system: tetragonal. As for the density of states at the Fermi level: 15.4 states/eV per cell. For the magnetic moment, the calculation gives 2.4 Bohr magnetons per cell. The value obtained for the calculated volume is 31.02 A^3/atom.

<B>
First-principles (PBE) data for an optimized crystal structure of BaHfCl2, as listed in Alexandria via LeMat-Bulk.

It has space group Fm-3m (No. 225), with a = 7.531 Å, b = 7.531 Å, c = 7.531 Å, α = 90.00°, β = 90.00° and γ = 90.00°. Symmetry generates all atoms from Ba at (0.000, 0.000, 0.000), Hf at (0.000, 0.000, 0.500) and Cl at (0.250, 0.250, 0.250).

As for the crystal system: cubic. As for the density of states at the Fermi level: 10.7 states/eV per cell. For the magnetic moment, the calculation gives 0.0 Bohr magnetons per cell. The value obtained for the calculated volume is 26.69 A^3/atom.

Relative to the most stable structure, the computed energies are <A> 0; <B> 237, all in meV per atom.

<A>
First-principles (PBE) data for an optimized crystal structure of BaHf2Cl, as listed in Alexandria via LeMat-Bulk.

It has space group Fm-3m (No. 225), with a = 7.482 Å, b = 7.482 Å, c = 7.482 Å, α = 90.00°, β = 90.00° and γ = 90.00°. Symmetry generates all atoms from Ba at (0.000, 0.000, 0.000), Hf at (0.250, 0.250, 0.250) and Cl at (0.000, 0.000, 0.500).

As for the crystal system: cubic. As for the density of states at the Fermi level: 30.5 states/eV per cell. For the magnetic moment, the calculation gives 4.3 Bohr magnetons per cell. The value obtained for the calculated volume is 26.18 A^3/atom.

<B>
First-principles (PBE) data for an optimized crystal structure of BaHf2Cl, as listed in Alexandria via LeMat-Bulk.

It has space group I-42d (No. 122), with a = 5.236 Å, b = 5.236 Å, c = 19.162 Å, α = 90.00°, β = 90.00° and γ = 90.00°. Symmetry generates all atoms from Ba at (0.000, 0.000, 0.000), Hf at (0.044, 0.250, 0.625) and Cl at (0.000, 0.000, 0.500).

As for the crystal system: tetragonal. As for the density of states at the Fermi level: 16.4 states/eV per cell. For the magnetic moment, the calculation gives 0.0 Bohr magnetons per cell. The value obtained for the calculated volume is 32.83 A^3/atom.

Relative to the most stable structure, the computed energies are <A> 468; <B> 0, all in meV per atom.

<A>
First-principles (PBE) data for an optimized crystal structure of BaHfS2Cl, as listed in Alexandria via LeMat-Bulk.

It has space group P4/mmm (No. 123), with a = 5.023 Å, b = 5.023 Å, c = 4.968 Å, α = 90.00°, β = 90.00° and γ = 90.00°. Symmetry generates all atoms from Ba at (0.000, 0.000, 0.000), Hf at (0.500, 0.500, 0.500), S at (0.000, 0.500, 0.500) and Cl at (0.500, 0.500, 0.000).

As for the crystal system: tetragonal. As for the density of states at the Fermi level: 2.1 states/eV per cell. For the magnetic moment, the calculation gives 0.0 Bohr magnetons per cell. The value obtained for the calculated volume is 25.07 A^3/atom.

<B>
First-principles (PBE) data for an optimized crystal structure of BaHfS2Cl, as listed in Alexandria via LeMat-Bulk.

It has space group P4/mmm (No. 123), with a = 5.760 Å, b = 5.760 Å, c = 5.521 Å, α = 90.00°, β = 90.00° and γ = 90.00°. Symmetry generates all atoms from Ba at (0.000, 0.000, 0.000), Hf at (0.500, 0.500, 0.500), S at (0.000, 0.500, 0.000) and Cl at (0.000, 0.000, 0.500).

As for the crystal system: tetragonal. As for the density of states at the Fermi level: 8.1 states/eV per cell. For the magnetic moment, the calculation gives 0.0 Bohr magnetons per cell. The value obtained for the calculated volume is 36.63 A^3/atom.

Relative to the most stable structure, the computed energies are <A> 0; <B> 2092, all in meV per atom.

<A>
First-principles (PBE) data for an optimized crystal structure of BaHfSCl2, as listed in Alexandria via LeMat-Bulk.

It has space group P4/mmm (No. 123), with a = 5.664 Å, b = 5.664 Å, c = 6.208 Å, α = 90.00°, β = 90.00° and γ = 90.00°. Symmetry generates all atoms from Ba at (0.000, 0.000, 0.000), Hf at (0.500, 0.500, 0.500), S at (0.000, 0.000, 0.500) and Cl at (0.000, 0.500, 0.000).

As for the crystal system: tetragonal. As for the density of states at the Fermi level: 6.7 states/eV per cell. For the magnetic moment, the calculation gives 0.1 Bohr magnetons per cell. The value obtained for the calculated volume is 39.83 A^3/atom.

<B>
First-principles (PBE) data for an optimized crystal structure of BaHfSCl2, as listed in Alexandria via LeMat-Bulk.

It has space group P4/mmm (No. 123), with a = 5.015 Å, b = 5.015 Å, c = 5.016 Å, α = 90.00°, β = 90.00° and γ = 90.00°. Symmetry generates all atoms from Ba at (0.000, 0.000, 0.000), Hf at (0.500, 0.500, 0.500), S at (0.500, 0.500, 0.000) and Cl at (0.000, 0.500, 0.500).

As for the crystal system: tetragonal. As for the density of states at the Fermi level: 2.7 states/eV per cell. For the magnetic moment, the calculation gives 0.2 Bohr magnetons per cell. The value obtained for the calculated volume is 25.23 A^3/atom.

Relative to the most stable structure, the computed energies are <A> 1403; <B> 0, all in meV per atom.

<A>
First-principles (PBE) data for an optimized crystal structure of Ba2HgCl2, as listed in Alexandria via LeMat-Bulk.

It has space group I4/mmm (No. 139), with a = 6.117 Å, b = 6.117 Å, c = 9.962 Å, α = 90.00°, β = 90.00° and γ = 90.00°. Symmetry generates all atoms from Ba at (0.000, 0.500, 0.250), Hg at (0.000, 0.000, 0.000) and Cl at (0.000, 0.000, 0.325).

As for the crystal system: tetragonal. As for the density of states at the Fermi level: 5.9 states/eV per cell. For the magnetic moment, the calculation gives 3.3 Bohr magnetons per cell. The value obtained for the calculated volume is 37.27 A^3/atom.

<B>
First-principles (PBE) data for an optimized crystal structure of Ba2HgCl2, as listed in Alexandria via LeMat-Bulk.

It has space group P4/mbm (No. 127), with a = 9.034 Å, b = 9.034 Å, c = 3.941 Å, α = 90.00°, β = 90.00° and γ = 90.00°. Symmetry generates all atoms from Ba at (0.177, 0.323, 0.000), Hg at (0.000, 0.000, 0.500) and Cl at (0.125, 0.625, 0.500).

As for the crystal system: tetragonal. As for the density of states at the Fermi level: 8.8 states/eV per cell. For the magnetic moment, the calculation gives 0.0 Bohr magnetons per cell. The value obtained for the calculated volume is 32.16 A^3/atom.

Relative to the most stable structure, the computed energies are <A> 45; <B> 0, all in meV per atom.